Below is MnIr2F after structural relaxation, with properties calculated at the PBE with a Hubbard U level.

POSCAR file:
```
MnIr2F
1.0
6.033 0.000 0.000
0.000 6.033 0.000
0.000 0.000 6.033
Mn Ir F
4 8 4
Cartesian
0.000 0.000 0.000
0.000 3.016 3.016
3.016 0.000 3.016
3.016 3.016 0.000
1.508 1.508 1.508
1.508 1.508 4.525
1.508 4.525 1.508
1.508 4.525 4.525
4.525 1.508 1.508
4.525 1.508 4.525
4.525 4.525 1.508
4.525 4.525 4.525
0.000 0.000 3.016
0.000 3.016 0.000
3.016 0.000 0.000
3.016 3.016 3.016
```

Calculated values
**E above lowest polymorph**: 112 meV/atom
**DOS(E_F)**: 16.723 states/eV/cell
**Crystal system**: cubic
**Symmetry**: Fm-3m, No. 225